(1)
# MgNiAs2Se SCAN single point on PBEsol structure
data_MgNiAs2Se
_symmetry_space_group_name_H-M 'P 4/m m m'
_symmetry_Int_Tables_number 123
_symmetry_space_group_name_Hall '-P 4 2'
_cell_length_a 4.457
_cell_length_b 4.457
_cell_length_c 5.101
_cell_angle_alpha 90.00
_cell_angle_beta 90.00
_cell_angle_gamma 90.00
loop_
_atom_site_label
_atom_site_fract_x
_atom_site_fract_y
_atom_site_fract_z
Mg1 0.000 0.000 0.000
Ni1 0.500 0.500 0.500
As1 0.000 0.500 0.500
Se1 0.500 0.500 0.000
# ΔE_f (raw): 167 meV per atom

---

(2)
# BaMgAl2 SCAN single point on PBEsol structure
data_BaMgAl2
_symmetry_space_group_name_H-M 'P m m 2'
_symmetry_Int_Tables_number 25
_cell_length_a 3.396
_cell_length_b 3.735
_cell_length_c 8.100
_cell_angle_alpha 90.00
_cell_angle_beta 90.00
_cell_angle_gamma 90.00
loop_
_symmetry_equiv_pos_as_xyz
'x,y,z'
'-x,-y,z'
'-x,y,z'
'x,-y,z'
loop_
_atom_site_label
_atom_site_fract_x
_atom_site_fract_y
_atom_site_fract_z
Ba1 0.000 0.000 0.000
Mg1 0.500 0.500 0.338
Al1 0.000 0.000 0.543
Al2 0.500 0.500 0.701
# Formation energy: 0.02 eV per atom